No. 1
# PBE HfInAgP2, optimized geometry
data_HfInAgP2
_cell_length_a 4.9707
_cell_length_b 4.9707
_cell_length_c 5.0742
_cell_angle_alpha 90.00
_cell_angle_beta 90.00
_cell_angle_gamma 90.00
_symmetry_space_group_name_H-M 'P 4/m m m'
_symmetry_Int_Tables_number 123
_symmetry_space_group_name_Hall '-P 4 2'
loop_
_atom_site_label
_atom_site_fract_x
_atom_site_fract_y
_atom_site_fract_z
_atom_site_occupancy
Hf1 0.0000 0.0000 0.0000 1
In1 0.5000 0.5000 0.0000 1
Ag1 0.5000 0.5000 0.5000 1
P1 0.0000 0.5000 0.5000 1
# ΔE_f: 0.981 eV per atom

No. 2
# PBE Cu2SnAu, optimized geometry
data_Cu2SnAu
_cell_length_a 4.0899
_cell_length_b 4.0899
_cell_length_c 3.9179
_cell_angle_alpha 90.00
_cell_angle_beta 90.00
_cell_angle_gamma 90.00
_symmetry_space_group_name_H-M 'P 4/m m m'
_symmetry_Int_Tables_number 123
_symmetry_space_group_name_Hall '-P 4 2'
loop_
_atom_site_label
_atom_site_fract_x
_atom_site_fract_y
_atom_site_fract_z
_atom_site_occupancy
Cu1 0.0000 0.5000 0.0000 1
Sn1 0.0000 0.0000 0.5000 1
Au1 0.5000 0.5000 0.5000 1
# ΔE_f: 0.013 eV per atom

No. 3
# PBE Mn3TeSe, optimized geometry
data_Mn3TeSe
_cell_length_a 5.0623
_cell_length_b 5.0623
_cell_length_c 5.0623
_cell_angle_alpha 90.00
_cell_angle_beta 90.00
_cell_angle_gamma 90.00
_symmetry_space_group_name_H-M 'P m -3 m'
_symmetry_Int_Tables_number 221
_symmetry_space_group_name_Hall '-P 4 2 3'
loop_
_atom_site_label
_atom_site_fract_x
_atom_site_fract_y
_atom_site_fract_z
_atom_site_occupancy
Mn1 0.0000 0.0000 0.5000 1
Te1 0.0000 0.0000 0.0000 1
Se1 0.5000 0.5000 0.5000 1
# Offset from the most stable computed form: 0.408 eV per atom
# Formation energy without anion corrections: 842 meV/atom

No. 4
# PBE NaMg2Cd2Hg2, optimized geometry
data_NaMg2Cd2Hg2
_cell_length_a 4.8772
_cell_length_b 4.8772
_cell_length_c 24.4111
_cell_angle_alpha 90.00
_cell_angle_beta 90.00
_cell_angle_gamma 120.00
_symmetry_space_group_name_H-M 'R -3 m'
_symmetry_Int_Tables_number 166
_symmetry_space_group_name_Hall '-R 3 2"'
loop_
_atom_site_label
_atom_site_fract_x
_atom_site_fract_y
_atom_site_fract_z
_atom_site_occupancy
Na1 0.0000 0.0000 0.0000 1
Mg1 0.0000 0.0000 0.1347 1
Cd1 0.0000 0.0000 0.2665 1
Hg1 0.0000 0.0000 0.4279 1
# ΔE_f: -0.088 eV per atom

No. 5
# PBE CrMo2As, optimized geometry
data_CrMo2As
_cell_length_a 3.7145
_cell_length_b 3.7145
_cell_length_c 18.9084
_cell_angle_alpha 90.00
_cell_angle_beta 90.00
_cell_angle_gamma 90.00
_symmetry_space_group_name_H-M 'I -4 2 d'
_symmetry_Int_Tables_number 122
_symmetry_space_group_name_Hall 'I -4 2bw'
loop_
_atom_site_label
_atom_site_fract_x
_atom_site_fract_y
_atom_site_fract_z
_atom_site_occupancy
Cr1 0.0000 0.0000 0.0000 1
Mo1 0.2434 0.2500 0.6250 1
As1 0.0000 0.0000 0.5000 1
# ΔE_f: 0.494 eV per atom

No. 6
# PBE NpCu3Ge2, optimized geometry
data_NpCu3Ge2
_cell_length_a 15.1323
_cell_length_b 3.9793
_cell_length_c 7.2587
_cell_angle_alpha 90.00
_cell_angle_beta 115.79
_cell_angle_gamma 90.00
_symmetry_space_group_name_H-M 'C 1 2/m 1'
_symmetry_Int_Tables_number 12
loop_
_symmetry_equiv_pos_as_xyz
'x,y,z'
'-x,-y,-z'
'-x,y,-z'
'x,-y,z'
'x+1/2,y+1/2,z'
'-x+1/2,-y+1/2,-z'
'-x+1/2,y+1/2,-z'
'x+1/2,-y+1/2,z'
loop_
_atom_site_label
_atom_site_fract_x
_atom_site_fract_y
_atom_site_fract_z
_atom_site_occupancy
Np1 0.1459 0.0000 0.0642 1
Cu1 0.0421 0.0000 0.3872 1
Cu2 0.0959 0.5000 0.6743 1
Cu3 0.1892 0.5000 0.4579 1
Ge1 0.0219 0.5000 0.1837 1
Ge2 0.1991 0.0000 0.7070 1
# Offset from the most stable computed form: 0.000 eV per atom
# ΔE_f: -0.105 eV per atom

No. 7
# PBE Li5RhAuN2, optimized geometry
data_Li5RhAuN2
_cell_length_a 4.1365
_cell_length_b 4.1365
_cell_length_c 7.6680
_cell_angle_alpha 90.00
_cell_angle_beta 90.00
_cell_angle_gamma 90.00
_symmetry_space_group_name_H-M 'P 4/m m m'
_symmetry_Int_Tables_number 123
_symmetry_space_group_name_Hall '-P 4 2'
loop_
_atom_site_label
_atom_site_fract_x
_atom_site_fract_y
_atom_site_fract_z
_atom_site_occupancy
Li1 0.0000 0.0000 0.0000 1
Li2 0.0000 0.5000 0.2670 1
Rh1 0.0000 0.0000 0.5000 1
Au1 0.5000 0.5000 0.0000 1
N1 0.0000 0.0000 0.2587 1
# Formation energy without anion corrections: -272 meV/atom

No. 8
# PBE Pr3Nd5Pt2, optimized geometry
data_Pr3Nd5Pt2
_cell_length_a 12.8698
_cell_length_b 14.4237
_cell_length_c 7.1323
_cell_angle_alpha 90.00
_cell_angle_beta 90.00
_cell_angle_gamma 90.00
_symmetry_space_group_name_H-M 'I b a m'
_symmetry_Int_Tables_number 72
_symmetry_space_group_name_Hall '-I 2 2c'
loop_
_atom_site_label
_atom_site_fract_x
_atom_site_fract_y
_atom_site_fract_z
_atom_site_occupancy
Pr1 0.0000 0.0000 0.2500 1
Pr2 0.2379 0.1756 0.0000 1
Nd1 0.0000 0.2702 0.2500 1
Nd2 0.0000 0.5000 0.2500 1
Nd3 0.2040 0.4297 0.0000 1
Pt1 0.1002 0.1473 0.5000 1
# ΔE_f: -0.304 eV per atom

| no. | total DFT energy (no corrections) (eV per formula unit) |
| --- | --- |
| 1 | -21.46 |
| 2 | -15.42 |
| 3 | -29.92 |
| 4 | -7.56 |
| 5 | -33.96 |
| 6 | -35.09 |
| 7 | -39.30 |
| 8 | -53.30 |